Record 1
SmDy6Pd3 | GGA-PBE | relaxed

- E_tot (eV per cell) = -105.8
- V (A^3/atom) = 27.24
- symmetry = No. 36
- N(E_F) (states/eV/cell) = 22.81

Cell lengths 8.730, 8.730, 7.222 Å; angles 90.00, 90.00, 98.17 degrees
Fractional positions:
Sm (0.184, 0.816, 0.500)
Sm (0.816, 0.184, 0.000)
Dy (0.081, 0.466, 0.717)
Dy (0.130, 0.209, 0.370)
Dy (0.209, 0.130, 0.870)
Dy (0.269, 0.731, 0.019)
Dy (0.466, 0.081, 0.217)
Dy (0.467, 0.533, 0.377)
Dy (0.533, 0.467, 0.877)
Dy (0.534, 0.919, 0.717)
Dy (0.731, 0.269, 0.519)
Dy (0.791, 0.870, 0.370)
Dy (0.870, 0.791, 0.870)
Dy (0.919, 0.534, 0.217)
Pd (0.074, 0.926, 0.162)
Pd (0.211, 0.414, 0.084)
Pd (0.414, 0.211, 0.584)
Pd (0.586, 0.789, 0.084)
Pd (0.789, 0.586, 0.584)
Pd (0.926, 0.074, 0.662)

---

Record 2
SmDy3Pd6 | GGA-PBE | relaxed

- E_tot (eV per cell) = -116.3
- V (A^3/atom) = 20.88
- symmetry = No. 11
- N(E_F) (states/eV/cell) = 9.57

Cell lengths 8.152, 4.579, 11.488 Å; angles 90.00, 103.19, 90.00 degrees
Fractional positions:
Sm (0.096, 0.250, 0.406)
Sm (0.904, 0.750, 0.594)
Dy (0.189, 0.250, 0.994)
Dy (0.362, 0.750, 0.815)
Dy (0.484, 0.750, 0.377)
Dy (0.516, 0.250, 0.623)
Dy (0.638, 0.250, 0.185)
Dy (0.811, 0.750, 0.006)
Pd (0.042, 0.750, 0.848)
Pd (0.145, 0.750, 0.184)
Pd (0.153, 0.250, 0.706)
Pd (0.274, 0.750, 0.560)
Pd (0.334, 0.250, 0.247)
Pd (0.438, 0.750, 0.081)
Pd (0.562, 0.250, 0.919)
Pd (0.666, 0.750, 0.753)
Pd (0.726, 0.250, 0.440)
Pd (0.847, 0.750, 0.294)
Pd (0.855, 0.250, 0.816)
Pd (0.958, 0.250, 0.152)

---

Record 3
SmDy3Pd3 | GGA-PBE | relaxed

- E_tot (eV per cell) = -77.7
- V (A^3/atom) = 24.74
- symmetry = No. 12
- N(E_F) (states/eV/cell) = 10.85

Cell lengths 7.005, 7.005, 7.118 Å; angles 91.16, 91.16, 97.19 degrees
Fractional positions:
Sm (0.235, 0.235, 0.377)
Sm (0.765, 0.765, 0.623)
Dy (0.154, 0.154, 0.866)
Dy (0.253, 0.747, 0.500)
Dy (0.322, 0.678, 0.000)
Dy (0.678, 0.322, 0.000)
Dy (0.747, 0.253, 0.500)
Dy (0.846, 0.846, 0.134)
Pd (0.006, 0.507, 0.778)
Pd (0.438, 0.438, 0.695)
Pd (0.493, 0.994, 0.222)
Pd (0.507, 0.006, 0.778)
Pd (0.562, 0.562, 0.305)
Pd (0.994, 0.493, 0.222)

---

E_form values, unit meV per atom, following the record order: -499, -848, -678.